Record 1
# Na2AlO2 | Alexandria | PBE | optimized geometry
# formation energy without anion corrections: -0.524 eV/atom
# relative energy among the computed polymorphs: 1.160 eV per atom
# N(E_F): 4.7 states/eV per cell
data_Na2AlO2
_chemical_formula_sum 'Na4 Al2 O4'
_cell_length_a 6.543
_cell_length_b 6.543
_cell_length_c 2.851
_cell_angle_alpha 90.00
_cell_angle_beta 90.00
_cell_angle_gamma 90.00
_symmetry_space_group_name_H-M 'P 4/m b m'
_symmetry_Int_Tables_number 127
_symmetry_space_group_name_Hall '-P 4 2ab'
loop_
_atom_site_label
_atom_site_type_symbol
_atom_site_fract_x
_atom_site_fract_y
_atom_site_fract_z
Na1 Na 0.118 0.382 0.000
Al1 Al 0.000 0.000 0.000
O1 O 0.189 0.689 0.500



Record 2
# PuTc2PbO8 | Alexandria | PBE | optimized geometry
# formation energy without anion corrections: -1.555 eV/atom
# N(E_F): 13.4 states/eV per cell
data_PuTc2PbO8
_chemical_formula_sum 'Pu3 Tc6 Pb3 O24'
_cell_length_a 5.4115
_cell_length_b 5.4115
_cell_length_c 22.1406
_cell_angle_alpha 90.00
_cell_angle_beta 90.00
_cell_angle_gamma 120.00
_symmetry_space_group_name_H-M 'R -3'
_symmetry_Int_Tables_number 148
_symmetry_space_group_name_Hall '-R 3'
loop_
_atom_site_label
_atom_site_type_symbol
_atom_site_fract_x
_atom_site_fract_y
_atom_site_fract_z
Pu1 Pu 0.0000 0.0000 0.0000
Tc1 Tc 0.0000 0.0000 0.2496
Pb1 Pb 0.0000 0.0000 0.5000
O1 O 0.0000 0.0000 0.1692
O2 O 0.0028 0.6578 0.9396



Record 3
# TlCu2PtI6 | Alexandria | PBE | optimized geometry
# formation energy without anion corrections: -0.185 eV/atom
# N(E_F): 41.4 states/eV per cell
data_TlCu2PtI6
_chemical_formula_sum 'Tl4 Cu8 Pt4 I24'
_cell_length_a 16.060
_cell_length_b 12.359
_cell_length_c 8.254
_cell_angle_alpha 90.00
_cell_angle_beta 112.92
_cell_angle_gamma 90.00
_symmetry_space_group_name_H-M 'C 1 2/c 1'
_symmetry_Int_Tables_number 15
_symmetry_space_group_name_Hall '-C 2yc'
loop_
_atom_site_label
_atom_site_type_symbol
_atom_site_fract_x
_atom_site_fract_y
_atom_site_fract_z
Tl1 Tl 0.000 0.053 0.250
Cu1 Cu 0.216 0.403 0.159
Pt1 Pt 0.000 0.191 0.750
I1 I 0.122 0.209 0.076
I2 I 0.132 0.185 0.632
I3 I 0.154 0.478 0.389



Record 4
# PmGaNi2 | Alexandria | PBE | optimized geometry
# calculated formation energy: -258 meV/atom
# N(E_F): 2.1 states/eV per cell
data_PmGaNi2
_chemical_formula_sum 'Pm1 Ga1 Ni2'
_cell_length_a 3.220
_cell_length_b 3.220
_cell_length_c 6.377
_cell_angle_alpha 90.00
_cell_angle_beta 90.00
_cell_angle_gamma 90.00
_symmetry_space_group_name_H-M 'P 4/m m m'
_symmetry_Int_Tables_number 123
_symmetry_space_group_name_Hall '-P 4 2'
loop_
_atom_site_label
_atom_site_type_symbol
_atom_site_fract_x
_atom_site_fract_y
_atom_site_fract_z
Pm1 Pm 0.000 0.000 0.000
Ga1 Ga 0.000 0.000 0.500
Ni1 Ni 0.500 0.500 0.307



Record 5
# KRb4Na2Hg2 | Alexandria | PBE | optimized geometry
# calculated formation energy: -91 meV/atom
# N(E_F): 5.8 states/eV per cell
data_KRb4Na2Hg2
_chemical_formula_sum 'K1 Rb4 Na2 Hg2'
_cell_length_a 7.591
_cell_length_b 8.589
_cell_length_c 8.673
_cell_angle_alpha 83.31
_cell_angle_beta 65.32
_cell_angle_gamma 77.39
_symmetry_space_group_name_H-M 'P -1'
_symmetry_Int_Tables_number 2
_symmetry_space_group_name_Hall '-P 1'
loop_
_atom_site_label
_atom_site_type_symbol
_atom_site_fract_x
_atom_site_fract_y
_atom_site_fract_z
K1 K 0.000 0.000 0.000
Rb1 Rb 0.208 0.227 0.458
Rb2 Rb 0.496 0.723 0.134
Na1 Na 0.249 0.654 0.684
Hg1 Hg 0.058 0.581 0.114